First-principles (PBE+U) data for a relaxed structure of NaZnMoO4, as listed in the Alexandria database.

Values from the calculation:
* spin magnetization: 0.14 μB per atom
* V: 14.51 Å³/atom
* energy: -5.748 eV/atom

Cell lengths 5.792, 5.792, 6.627 Å; angles 90.00, 90.00, 114.01 degrees
Each line ends with the local moment (μB).
Fractional coordinates of all 14 atoms:
Zn 0.855 0.145 0.750  0.04
Zn 0.145 0.855 0.250  0.04
O 0.245 0.755 0.507  -0.01
O 0.755 0.245 0.007  -0.01
O 0.772 0.798 0.250  0.01
O 0.202 0.228 0.250  0.01
O 0.798 0.772 0.750  0.01
O 0.245 0.755 0.993  -0.01
O 0.755 0.245 0.493  -0.01
O 0.228 0.202 0.750  0.01
Mo 0.150 0.850 0.750  0.93
Mo 0.850 0.150 0.250  0.93
Na 0.500 0.500 0.000  0.00
Na 0.500 0.500 0.500  0.00